1.
Ac8SnBi4Te3: optimized geometry, PBE-GGA. Values from VASP.

```
&SYSTEM
  ibrav = 0, nat = 16, ntyp = 4
/
ATOMIC_SPECIES
Ac 227.00 Ac.upf
Sn 118.71 Sn.upf
Bi 208.98 Bi.upf
Te 127.60 Te.upf
CELL_PARAMETERS angstrom
-6.534 6.499 -2.897
-6.150 -3.189 6.716
8.869 2.867 2.535
ATOMIC_POSITIONS angstrom
Ac -6.194 -0.781 4.318
Ac -1.842 0.628 5.564
Ac 1.276 2.258 2.187
Ac -9.523 2.530 2.843
Ac 5.708 3.646 3.511
Ac -5.091 3.919 4.168
Ac -1.973 5.548 0.790
Ac 2.380 6.957 2.036
Sn -3.075 -1.595 3.358
Bi -3.267 3.250 -1.448
Bi 1.168 4.683 -0.181
Bi 0.000 0.000 0.000
Bi 4.434 1.433 1.268
Te -6.342 1.655 1.910
Te -1.907 3.088 3.177
Te 1.359 -0.161 4.625
```

Formation energy from raw total energies, eV per atom: -1.189
SG: R-3m (166)

=====

2.
BaV2Co: optimized geometry, PBE-GGA. Values from VASP.

```
&SYSTEM
  ibrav = 0, nat = 4, ntyp = 3
/
ATOMIC_SPECIES
Co 58.93 Co.upf
Ba 137.33 Ba.upf
V 50.94 V.upf
CELL_PARAMETERS angstrom
0.000 3.219 3.219
3.219 0.000 3.219
3.219 3.219 0.000
ATOMIC_POSITIONS angstrom
Co 0.000 0.000 0.000
Ba 3.219 3.219 3.219
V 1.609 1.609 1.609
V 4.828 4.828 4.828
```

Formation energy from the elements, eV/atom: 1.18
SG: Fm-3m (225)

=====

3.
RbPmAg2: optimized geometry, PBE-GGA. Values from VASP.

```
&SYSTEM
  ibrav = 0, nat = 4, ntyp = 3
/
ATOMIC_SPECIES
Rb 85.47 Rb.upf
Ag 107.87 Ag.upf
Pm 145.00 Pm.upf
CELL_PARAMETERS angstrom
3.901 0.000 0.000
0.000 3.901 0.000
0.000 0.000 8.486
ATOMIC_POSITIONS angstrom
Rb 1.951 1.951 4.243
Ag 0.000 0.000 6.977
Ag 0.000 0.000 1.509
Pm 1.951 1.951 0.000
```

Formation energy from the elements, eV/atom: -0.08
SG: P4/mmm (123)

=====

4.
Ge2SeN: optimized geometry, PBE-GGA. Values from VASP.

```
&SYSTEM
  ibrav = 0, nat = 4, ntyp = 3
/
ATOMIC_SPECIES
Ge 72.64 Ge.upf
Se 78.96 Se.upf
N 14.01 N.upf
CELL_PARAMETERS angstrom
-1.440 3.811 -1.988
-0.926 0.032 -4.438
-6.288 -0.204 -1.005
ATOMIC_POSITIONS angstrom
Ge -4.637 0.242 -1.346
Ge -4.017 3.397 -6.084
Se -4.327 1.819 -3.715
N 0.000 0.000 0.000
```

Formation energy from raw total energies, eV per atom: 0.368
SG: R-3m (166)

=====

5.
GaReI2N: optimized geometry, PBE-GGA. Values from VASP.

```
&SYSTEM
  ibrav = 0, nat = 5, ntyp = 4
/
ATOMIC_SPECIES
I 126.90 I.upf
Re 186.21 Re.upf
Ga 69.72 Ga.upf
N 14.01 N.upf
CELL_PARAMETERS angstrom
5.690 0.000 0.000
0.000 5.690 0.000
0.000 0.000 3.805
ATOMIC_POSITIONS angstrom
I 0.000 2.845 0.000
I 2.845 0.000 0.000
Re 0.000 0.000 0.000
Ga 2.845 2.845 1.902
N 0.000 0.000 1.902
```

Formation energy from raw total energies, eV per atom: 0.323
SG: P4/mmm (123)

=====

6.
Tb2Ga5Ni3: optimized geometry, PBE-GGA. Values from VASP.

```
&SYSTEM
  ibrav = 0, nat = 20, ntyp = 3
/
ATOMIC_SPECIES
Tb 158.93 Tb.upf
Ga 69.72 Ga.upf
Ni 58.69 Ni.upf
CELL_PARAMETERS angstrom
5.541 0.000 0.000
2.771 7.880 0.256
2.771 1.469 7.746
ATOMIC_POSITIONS angstrom
Tb 2.771 4.773 1.191
Tb 5.541 1.913 4.533
Tb 8.312 4.575 6.811
Tb 5.541 7.435 3.470
Ga 5.541 3.408 7.175
Ga 8.312 7.615 2.260
Ga 5.541 5.941 0.827
Ga 2.771 1.734 5.742
Ga 6.927 7.385 6.322
Ga 4.156 1.963 1.680
Ga 6.927 4.674 4.001
Ga 4.156 4.674 4.001
Ga 1.385 1.963 1.680
Ga 9.697 7.385 6.322
Ni 5.541 5.423 5.857
Ni 8.312 6.623 4.454
Ni 5.541 3.926 2.146
Ni 2.771 2.726 3.548
Ni 1.385 0.000 0.000
Ni 4.156 0.000 0.000
```

Formation energy from the elements, eV/atom: -0.61
SG: Ibam (72)